No. 1
Li3Ir4O12 | PBE-GGA | optimized geometry

symmetry	Im-3 (204)

```
data_Li3Ir4O12
_chemical_formula_sum 'Li3 Ir4 O12'
_space_group_name_H-M_alt 'P 1'
_space_group_IT_number 1
_cell_length_a 6.408
_cell_length_b 6.408
_cell_length_c 6.408
_cell_angle_alpha 109.47
_cell_angle_beta 109.47
_cell_angle_gamma 109.47
loop_
_space_group_symop_operation_xyz
'x,y,z'
loop_
_atom_site_label
_atom_site_type_symbol
_atom_site_fract_x
_atom_site_fract_y
_atom_site_fract_z
O1 O 0.185 0.690 0.874
O2 O 0.690 0.505 0.815
O3 O 0.874 0.185 0.690
O4 O 0.310 0.495 0.185
O5 O 0.505 0.815 0.690
O6 O 0.310 0.126 0.815
O7 O 0.495 0.185 0.310
O8 O 0.690 0.874 0.185
O9 O 0.185 0.310 0.495
O10 O 0.126 0.815 0.310
O11 O 0.815 0.310 0.126
O12 O 0.815 0.690 0.505
Ir1 Ir 0.000 0.500 0.000
Ir2 Ir 0.500 0.500 0.500
Ir3 Ir 0.000 0.000 0.500
Ir4 Ir 0.500 0.000 0.000
Li1 Li 0.500 0.500 0.000
Li2 Li 0.500 0.000 0.500
Li3 Li 0.000 0.500 0.500
```


No. 2
Sc4Tc3 | PBE-GGA | optimized geometry

energy of formation	-153.8	meV/atom
symmetry	I4/mmm (139)

```
data_Sc4Tc3
_chemical_formula_sum 'Sc4 Tc3'
_space_group_name_H-M_alt 'P 1'
_space_group_IT_number 1
_cell_length_a 3.190
_cell_length_b 13.451
_cell_length_c 3.190
_cell_angle_alpha 83.19
_cell_angle_beta 90.00
_cell_angle_gamma 96.81
loop_
_space_group_symop_operation_xyz
'x,y,z'
loop_
_atom_site_label
_atom_site_type_symbol
_atom_site_fract_x
_atom_site_fract_y
_atom_site_fract_z
Tc1 Tc 0.000 0.000 0.000
Tc2 Tc 0.277 0.554 0.723
Tc3 Tc 0.723 0.446 0.277
Sc1 Sc 0.842 0.684 0.158
Sc2 Sc 0.158 0.316 0.842
Sc3 Sc 0.558 0.117 0.442
Sc4 Sc 0.442 0.883 0.558
```


No. 3
AcAg2Pb | PBE-GGA | optimized geometry

energy of formation	-129.8	meV/atom
symmetry	P4/mmm (123)

```
data_AcAg2Pb
_chemical_formula_sum 'Ac1 Ag2 Pb1'
_space_group_name_H-M_alt 'P 1'
_space_group_IT_number 1
_cell_length_a 3.985
_cell_length_b 3.985
_cell_length_c 7.012
_cell_angle_alpha 90.00
_cell_angle_beta 90.00
_cell_angle_gamma 90.00
loop_
_space_group_symop_operation_xyz
'x,y,z'
loop_
_atom_site_label
_atom_site_type_symbol
_atom_site_fract_x
_atom_site_fract_y
_atom_site_fract_z
Pb1 Pb 0.500 0.500 0.000
Ag1 Ag 0.000 0.000 0.770
Ag2 Ag 0.000 0.000 0.230
Ac1 Ac 0.500 0.500 0.500
```


No. 4
Sm2BiHO | PBE-GGA | optimized geometry

symmetry	I-4m2 (119)

```
data_Sm2BiHO
_chemical_formula_sum 'Sm2 Bi1 H1 O1'
_space_group_name_H-M_alt 'P 1'
_space_group_IT_number 1
_cell_length_a 4.003
_cell_length_b 4.003
_cell_length_c 6.882
_cell_angle_alpha 106.91
_cell_angle_beta 106.91
_cell_angle_gamma 90.00
loop_
_space_group_symop_operation_xyz
'x,y,z'
loop_
_atom_site_label
_atom_site_type_symbol
_atom_site_fract_x
_atom_site_fract_y
_atom_site_fract_z
Sm1 Sm 0.654 0.654 0.307
Sm2 Sm 0.346 0.346 0.693
Bi1 Bi 0.000 0.000 0.000
H1 H 0.750 0.250 0.500
O1 O 0.250 0.750 0.500
```


One value per record, in order, for final energy: -6.284 -8.214 -3.510 -6.024 eV per atom.
One value per record, in order, for M_tot: 0.000 0.000 0.000 0.000 μB per atom.